[1]
## Ac2PmSi2 (PBE-GGA)

Data for Ac2PmSi2 after structural relaxation.

Results
The density of states at the Fermi level comes out at 0.97 states/eV/atom. The raw total energy comes out at -5.318 eV/atom. For the volume, the calculation gives 29.833 A^3/atom. Its total moment is 0.0 μB per formula unit. The uncorrected formation energy comes out at -0.5554 eV/atom. The symmetry is P4/mbm (127).

a = 7.965 Å, b = 7.965 Å, c = 4.702 Å
α = 90.00°, β = 90.00°, γ = 90.00°
Fractional coordinates of all 10 atoms:
1 Ac 0.179 0.321 0.000
2 Ac 0.321 0.821 0.000
3 Ac 0.679 0.179 0.000
4 Ac 0.821 0.679 0.000
5 Pm 0.000 0.000 0.500
6 Pm 0.500 0.500 0.500
7 Si 0.110 0.610 0.500
8 Si 0.390 0.110 0.500
9 Si 0.610 0.890 0.500
10 Si 0.890 0.390 0.500

[2]
## AcPm4Si3 (PBE-GGA)

Data for AcPm4Si3 after structural relaxation.

Results
The density of states at the Fermi level comes out at 0.73 states/eV/atom. The raw total energy comes out at -5.373 eV/atom. For the volume, the calculation gives 28.644 A^3/atom. Its total moment is 0.0 μB per formula unit. The uncorrected formation energy comes out at -0.4510 eV/atom. The symmetry is P4/mmm (123).

a = 4.798 Å, b = 4.798 Å, c = 9.954 Å
α = 90.00°, β = 90.00°, γ = 90.00°
Fractional coordinates of all 8 atoms:
1 Ac 0.000 0.000 0.000
2 Pm 0.000 0.500 0.315
3 Pm 0.000 0.500 0.685
4 Pm 0.500 0.000 0.315
5 Pm 0.500 0.000 0.685
6 Si 0.000 0.000 0.500
7 Si 0.500 0.500 0.125
8 Si 0.500 0.500 0.875